## Ca3Al4Ag4 (GGA-PBE)

Data for an optimized crystal structure of Ca3Al4Ag4.

Cell: 4.651 3.758 14.249 Å, 97.58 99.39 90.00°
Positions (direct):
1 Al 0.452 0.452 0.905
2 Al 0.191 0.691 0.381
3 Ag 0.259 0.259 0.519
4 Al 0.809 0.309 0.619
5 Ca 0.356 0.856 0.712
6 Ca 0.644 0.144 0.288
7 Ca 0.000 0.000 0.000
8 Ag 0.741 0.741 0.481
9 Al 0.548 0.548 0.095
10 Ag 0.905 0.405 0.809
11 Ag 0.095 0.595 0.191

Summary:
Mass density in g cm⁻³: 4.497
Symmetry: Immm

***

## Ca8AlAg2 (GGA-PBE)

Data for an optimized crystal structure of Ca8AlAg2.

Cell: 5.794 8.409 8.409 Å, 112.30 98.67 98.67°
Positions (direct):
1 Al 0.003 0.003 0.003
2 Ag 0.500 0.320 0.687
3 Ca 0.586 0.072 0.325
4 Ca 0.000 0.769 0.236
5 Ca 0.818 0.634 0.634
6 Ca 0.182 0.372 0.372
7 Ca 0.413 0.681 0.934
8 Ca 0.000 0.236 0.769
9 Ca 0.413 0.934 0.681
10 Ag 0.500 0.687 0.320
11 Ca 0.586 0.325 0.072

Summary:
Mass density in g cm⁻³: 2.564
Symmetry: Cm

***

## Ca2Al3Ag4 (GGA-PBE)

Data for an optimized crystal structure of Ca2Al3Ag4.

Cell: 5.811 7.876 8.608 Å, 90.00 109.73 90.00°
Positions (direct):
1 Ag 0.683 0.750 0.866
2 Ag 0.317 0.250 0.134
3 Ag 0.177 0.983 0.353
4 Ag 0.817 0.250 0.134
5 Al 0.015 0.750 0.530
6 Ca 0.602 0.900 0.205
7 Al 0.515 0.750 0.530
8 Al 0.000 0.000 0.000
9 Ag 0.677 0.517 0.353
10 Ag 0.183 0.750 0.866
11 Al 0.485 0.250 0.470
12 Ca 0.102 0.600 0.205
13 Al 0.985 0.250 0.470
14 Ca 0.898 0.400 0.795
15 Al 0.500 0.500 0.000
16 Ag 0.323 0.483 0.647
17 Ag 0.823 0.017 0.647
18 Ca 0.398 0.100 0.795

Summary:
Mass density in g cm⁻³: 5.307
Symmetry: Cmce

***

## CaAlAg (GGA-PBE)

Data for an optimized crystal structure of CaAlAg.

Cell: 4.658 4.658 3.710 Å, 90.00 90.00 120.00°
Positions (direct):
1 Ag 0.000 0.000 0.167
2 Al 0.667 0.333 0.167
3 Ca 0.333 0.667 0.667

Summary:
Mass density in g cm⁻³: 4.167
Symmetry: P-6m2

***

## Ca2Al2Ag (GGA-PBE)

Data for an optimized crystal structure of Ca2Al2Ag.

Cell: 4.518 4.518 7.441 Å, 72.33 72.33 90.00°
Positions (direct):
1 Ca 0.250 0.750 0.500
2 Al 0.591 0.591 0.819
3 Al 0.409 0.409 0.181
4 Ca 0.750 0.250 0.500
5 Ag 0.000 0.000 0.000

Summary:
Mass density in g cm⁻³: 2.929
Symmetry: I4/mmm

***

## CaAl2CdAg2 (GGA-PBE)

Data for an optimized crystal structure of CaAl2CdAg2.

Cell: 4.585 4.585 6.942 Å, 90.00 90.00 120.00°
Positions (direct):
1 Al 0.333 0.667 0.720
2 Ca 0.000 0.000 0.000
3 Ag 0.667 0.333 0.712
4 Cd 0.000 0.000 0.500
5 Ag 0.333 0.667 0.288
6 Al 0.667 0.333 0.280

Summary:
Mass density in g cm⁻³: 5.548
Symmetry: P-3m1

***

## Ca2AlCd12Ag3 (GGA-PBE)

Data for an optimized crystal structure of Ca2AlCd12Ag3.

Cell: 14.569 14.569 14.569 Å, 23.78 23.78 23.78°
Positions (direct):
1 Cd 0.125 0.607 0.607
2 Ca 0.351 0.351 0.351
3 Ag 0.000 0.000 0.500
4 Cd 0.390 0.886 0.886
5 Cd 0.607 0.607 0.125
6 Cd 0.886 0.390 0.886
7 Cd 0.875 0.393 0.393
8 Cd 0.114 0.114 0.610
9 Cd 0.393 0.393 0.875
10 Cd 0.393 0.875 0.393
11 Cd 0.114 0.610 0.114
12 Cd 0.610 0.114 0.114
13 Ag 0.500 0.000 0.000
14 Cd 0.886 0.886 0.390
15 Ag 0.000 0.500 0.000
16 Ca 0.649 0.649 0.649
17 Al 0.000 0.000 0.000
18 Cd 0.607 0.125 0.607

Summary:
Mass density in g cm⁻³: 6.692
Symmetry: R-3m

***

## Ca2AlCd6Ag (GGA-PBE)

Data for an optimized crystal structure of Ca2AlCd6Ag.

Cell: 7.111 7.111 12.578 Å, 73.58 73.58 60.00°
Positions (direct):
1 Al 0.428 0.428 0.717
2 Cd 0.657 0.226 0.891
3 Ca 0.285 0.285 0.145
4 Ag 0.500 0.500 0.500
5 Cd 0.226 0.657 0.891
6 Cd 0.066 0.664 0.606
7 Cd 0.336 0.934 0.394
8 Cd 0.226 0.226 0.891
9 Cd 0.774 0.343 0.109
10 Cd 0.664 0.066 0.606
11 Ag 0.000 0.000 0.000
12 Cd 0.343 0.774 0.109
13 Cd 0.336 0.336 0.394
14 Cd 0.774 0.774 0.109
15 Ca 0.111 0.111 0.666
16 Cd 0.664 0.664 0.606
17 Al 0.572 0.572 0.283
18 Cd 0.934 0.336 0.394
19 Ca 0.889 0.889 0.334
20 Ca 0.715 0.715 0.855

Summary:
Mass density in g cm⁻³: 5.673
Symmetry: R-3m

***

## Ca3AlCd2Ag8 (GGA-PBE)

Data for an optimized crystal structure of Ca3AlCd2Ag8.

Cell: 5.653 5.653 11.026 Å, 90.00 90.00 120.00°
Positions (direct):
1 Ca 0.333 0.667 0.562
2 Al 0.000 0.000 0.500
3 Ag 0.333 0.667 0.837
4 Ag 0.166 0.332 0.298
5 Cd 0.333 0.667 0.084
6 Ag 0.332 0.166 0.702
7 Ca 0.000 0.000 0.000
8 Ag 0.166 0.834 0.298
9 Ag 0.834 0.166 0.702
10 Ag 0.668 0.834 0.298
11 Cd 0.667 0.333 0.916
12 Ca 0.667 0.333 0.438
13 Ag 0.667 0.333 0.163
14 Ag 0.834 0.668 0.702

Summary:
Mass density in g cm⁻³: 6.720
Symmetry: P-3m1

***

## CaAlCdAg3 (GGA-PBE)

Data for an optimized crystal structure of CaAlCdAg3.

Cell: 6.049 7.067 7.335 Å, 118.80 90.00 90.00°
Positions (direct):
1 Ca 0.750 0.304 0.607
2 Al 0.750 0.636 0.271
3 Cd 0.250 0.931 0.862
4 Ag 0.500 0.697 0.000
5 Ag 0.000 0.697 0.000
6 Ag 0.000 0.303 0.000
7 Al 0.250 0.364 0.729
8 Ag 0.250 0.161 0.322
9 Ag 0.500 0.303 0.000
10 Ca 0.250 0.696 0.393
11 Cd 0.750 0.069 0.138
12 Ag 0.750 0.839 0.678

Summary:
Mass density in g cm⁻³: 6.081
Symmetry: Cmcm

***

## CaCeAlAg (GGA-PBE)

Data for an optimized crystal structure of CaCeAlAg.

Cell: 5.258 5.258 5.258 Å, 60.00 60.00 60.00°
Site moments in Bohr magnetons follow the coordinates.
Positions (direct):
1 Ce 0.000 0.000 0.000  0.68
2 Ca 0.500 0.500 0.500  0.00
3 Ag 0.250 0.250 0.250  0.00
4 Al 0.750 0.750 0.750  0.00

Summary:
Mass density in g cm⁻³: 5.091
Symmetry: F-43m

***

## Ca2Al2Cu5Ag (GGA-PBE)

Data for an optimized crystal structure of Ca2Al2Cu5Ag.

Cell: 3.427 10.134 10.134 Å, 90.00 90.00 90.00°
Positions (direct):
1 Al 0.000 0.379 0.121
2 Ca 0.000 0.323 0.823
3 Cu 0.500 0.201 0.055
4 Ag 0.000 0.000 0.000
5 Cu 0.500 0.945 0.201
6 Ca 0.000 0.823 0.677
7 Cu 0.500 0.000 0.500
8 Cu 0.500 0.701 0.445
9 Ca 0.000 0.177 0.323
10 Ag 0.000 0.500 0.500
11 Cu 0.500 0.055 0.799
12 Al 0.000 0.879 0.379
13 Al 0.000 0.121 0.621
14 Cu 0.500 0.500 0.000
15 Cu 0.500 0.299 0.555
16 Cu 0.500 0.445 0.299
17 Al 0.000 0.621 0.879
18 Cu 0.500 0.555 0.701
19 Ca 0.000 0.677 0.177
20 Cu 0.500 0.799 0.945

Summary:
Mass density in g cm⁻³: 5.282
Symmetry: P4/mbm

***

no.,uncorrected energy (eV/atom),formation enthalpy at 0 K (kJ/mol of formula units),spin magnetization (μB per cell)
1,-3.19,-264,0.0
2,-2.44,-133,0.0
3,-3.22,-230,0.0
4,-3.15,-82,0.0
5,-2.54,160,0.0
6,-2.84,-91,0.0
7,-1.54,-43,0.0
8,-1.68,-70,0.0
9,-2.65,-262,0.0
10,-2.58,-27,0.0
11,-3.83,-76,0.7
12,-3.52,-34,0.0